Entry 1:
Er3TlTc | Alexandria | PBE | optimized geometry; polymorph energy (0 for the lowest one) = 0 meV per atom; total moment = 0.00 μB/f.u.; density of states at the Fermi level = 0.8526 states/eV per atom; crystal system = orthorhombic; V = 25.7 Å³/atom; energy relative to the elements = -0.194 eV/atom; E_tot = -27.4 eV/f.u.
1.0
0.000 4.826 8.093
3.287 0.000 8.093
3.287 4.826 0.000
Er Tl Tc
6 2 2
direct
0.198 0.575 0.425
0.200 0.200 0.800
0.425 0.802 0.198
0.575 0.198 0.802
0.800 0.800 0.200
0.802 0.425 0.575
0.216 0.784 0.784
0.784 0.216 0.216
0.250 0.250 0.250
0.750 0.750 0.750

***

Entry 2:
Er2TlTc | Alexandria | PBE | optimized geometry; total moment = 0.00 μB/f.u.; density of states at the Fermi level = 1.0818 states/eV per atom; crystal system = tetragonal; V = 23.5 Å³/atom; energy relative to the elements = -0.212 eV/atom; E_tot = -22.7 eV/f.u.
1.0
3.504 0.000 0.000
0.000 3.504 0.000
0.000 0.000 7.664
Er Tl Tc
2 1 1
direct
0.000 0.000 0.208
0.000 0.000 0.792
0.500 0.500 0.500
0.500 0.500 0.000

***

Entry 3:
Er7Tl2Tc2 | Alexandria | PBE | optimized geometry; total moment = 0.00 μB/f.u.; density of states at the Fermi level = 0.4985 states/eV per atom; crystal system = orthorhombic; V = 27.7 Å³/atom; energy relative to the elements = -0.050 eV/atom; E_tot = -57.9 eV/f.u.
1.0
3.602 -5.499 0.000
3.602 5.499 0.000
0.000 0.000 7.684
Er Tl Tc
7 2 2
direct
0.000 0.000 0.000
0.000 0.500 0.267
0.000 0.500 0.733
0.500 0.000 0.267
0.500 0.000 0.733
0.500 0.500 0.210
0.500 0.500 0.790
0.201 0.201 0.500
0.799 0.799 0.500
0.296 0.704 0.000
0.704 0.296 0.000

***

Entry 4:
Er4TlTc | Alexandria | PBE | optimized geometry; total moment = 0.00 μB/f.u.; density of states at the Fermi level = 0.9461 states/eV per atom; crystal system = monoclinic; V = 27.5 Å³/atom; energy relative to the elements = -0.233 eV/atom; E_tot = -32.4 eV/f.u.
1.0
4.335 -6.412 0.000
4.335 6.412 0.000
-1.813 0.000 5.927
Er Tl Tc
8 2 2
direct
0.062 0.725 0.953
0.198 0.354 0.607
0.275 0.938 0.547
0.354 0.198 0.107
0.646 0.802 0.893
0.725 0.062 0.453
0.802 0.646 0.393
0.938 0.275 0.047
0.375 0.625 0.250
0.625 0.375 0.750
0.000 0.000 0.250
0.000 0.000 0.750

***

Entry 5:
ErTmTlTc | Alexandria | PBE | optimized geometry; total moment = 0.00 μB/f.u.; density of states at the Fermi level = 0.7243 states/eV per atom; crystal system = cubic; V = 22.6 Å³/atom; energy relative to the elements = -0.084 eV/atom; E_tot = -22.1 eV/f.u.
1.0
7.125 0.000 0.000
0.000 7.125 0.000
0.000 0.000 7.125
Er Tm Tl Tc
4 4 4 4
direct
0.000 0.000 0.000
0.000 0.500 0.500
0.500 0.000 0.500
0.500 0.500 0.000
0.000 0.000 0.500
0.000 0.500 0.000
0.500 0.000 0.000
0.500 0.500 0.500
0.250 0.250 0.250
0.250 0.750 0.750
0.750 0.250 0.750
0.750 0.750 0.250
0.250 0.250 0.750
0.250 0.750 0.250
0.750 0.250 0.250
0.750 0.750 0.750

***

Entry 6:
Er2Tm2Tc | Alexandria | PBE | optimized geometry; polymorph energy (0 for the lowest one) = 74 meV per atom; total moment = 0.00 μB/f.u.; density of states at the Fermi level = 0.9905 states/eV per atom; crystal system = monoclinic; V = 27.9 Å³/atom; energy relative to the elements = -0.022 eV/atom; E_tot = -28.5 eV/f.u.
1.0
3.685 -5.963 0.000
3.685 5.963 0.000
-3.554 0.000 6.351
Er Tm Tc
4 4 2
direct
0.230 0.230 0.394
0.260 0.260 0.909
0.740 0.740 0.091
0.770 0.770 0.606
0.230 0.677 0.247
0.323 0.770 0.753
0.677 0.230 0.247
0.770 0.323 0.753
0.129 0.871 0.000
0.871 0.129 0.000

***

Entry 7:
Er2TmTc | Alexandria | PBE | optimized geometry; polymorph energy (0 for the lowest one) = 3 meV per atom; total moment = 0.00 μB/f.u.; density of states at the Fermi level = 0.8297 states/eV per atom; crystal system = orthorhombic; V = 25.6 Å³/atom; energy relative to the elements = -0.136 eV/atom; E_tot = -24.5 eV/f.u.
1.0
3.831 0.000 0.000
0.000 11.814 0.000
0.000 0.000 9.066
Er Tm Tc
8 4 4
direct
0.000 0.143 0.065
0.000 0.143 0.435
0.000 0.857 0.565
0.000 0.857 0.935
0.500 0.357 0.565
0.500 0.357 0.935
0.500 0.643 0.065
0.500 0.643 0.435
0.000 0.429 0.250
0.000 0.571 0.750
0.500 0.071 0.750
0.500 0.929 0.250
0.000 0.239 0.750
0.000 0.761 0.250
0.500 0.261 0.250
0.500 0.739 0.750

***

Entry 8:
Er4Tm5Tc2 | Alexandria | PBE | optimized geometry; total moment = 0.00 μB/f.u.; density of states at the Fermi level = 1.3053 states/eV per atom; crystal system = monoclinic; V = 27.7 Å³/atom; energy relative to the elements = 0.033 eV/atom; E_tot = -61.0 eV/f.u.
1.0
8.224 0.000 0.000
0.000 3.582 0.000
-0.265 0.000 10.335
Er Tm Tc
4 5 2
direct
0.183 0.000 0.357
0.185 0.000 0.948
0.815 0.000 0.052
0.817 0.000 0.643
0.159 0.500 0.658
0.437 0.500 0.160
0.500 0.500 0.500
0.563 0.500 0.840
0.841 0.500 0.342
0.083 0.500 0.157
0.917 0.500 0.843

***

Entry 9:
ErTm2Tc9 | Alexandria | PBE | optimized geometry; total moment = 0.00 μB/f.u.; density of states at the Fermi level = 1.0749 states/eV per atom; crystal system = trigonal; V = 17.8 Å³/atom; energy relative to the elements = -0.091 eV/atom; E_tot = -107.9 eV/f.u.
1.0
2.661 1.536 8.712
-2.661 1.536 8.712
0.000 -3.072 8.712
Er Tm Tc
1 2 9
direct
0.000 0.000 0.000
0.144 0.144 0.144
0.856 0.856 0.856
0.074 0.589 0.589
0.338 0.338 0.338
0.411 0.411 0.926
0.411 0.926 0.411
0.500 0.500 0.500
0.589 0.074 0.589
0.589 0.589 0.074
0.662 0.662 0.662
0.926 0.411 0.411

***

Entry 10:
Er2Tm2Tc | Alexandria | PBE | optimized geometry; polymorph energy (0 for the lowest one) = 0 meV per atom; total moment = 0.00 μB/f.u.; density of states at the Fermi level = 1.0817 states/eV per atom; crystal system = monoclinic; V = 26.7 Å³/atom; energy relative to the elements = -0.096 eV/atom; E_tot = -28.9 eV/f.u.
1.0
5.974 -1.918 0.000
5.974 1.918 0.000
-4.856 0.000 11.663
Er Tm Tc
4 4 2
direct
0.004 0.004 0.167
0.350 0.350 0.307
0.650 0.650 0.693
0.996 0.996 0.833
0.123 0.123 0.451
0.321 0.321 0.930
0.679 0.679 0.070
0.877 0.877 0.549
0.320 0.320 0.695
0.680 0.680 0.305

***

Entry 11:
Er2Tm8Tc | Alexandria | PBE | optimized geometry; total moment = 0.00 μB/f.u.; density of states at the Fermi level = 1.4818 states/eV per atom; crystal system = monoclinic; V = 28.4 Å³/atom; energy relative to the elements = 0.005 eV/atom; E_tot = -55.2 eV/f.u.
1.0
9.229 -2.690 0.000
9.229 2.690 0.000
-0.251 0.000 6.293
Er Tm Tc
2 8 1
direct
0.240 0.240 0.332
0.760 0.760 0.668
0.040 0.040 0.241
0.157 0.157 0.821
0.351 0.351 0.863
0.426 0.426 0.368
0.574 0.574 0.632
0.649 0.649 0.137
0.843 0.843 0.179
0.960 0.960 0.759
0.500 0.500 0.000

***

Entry 12:
Er5Tm4Tc2 | Alexandria | PBE | optimized geometry; total moment = 0.00 μB/f.u.; density of states at the Fermi level = 1.3071 states/eV per atom; crystal system = monoclinic; V = 27.7 Å³/atom; energy relative to the elements = 0.023 eV/atom; E_tot = -61.2 eV/f.u.
1.0
8.244 0.000 0.000
0.000 3.577 0.000
-0.285 0.000 10.318
Er Tm Tc
5 4 2
direct
0.000 0.000 0.000
0.062 0.000 0.341
0.341 0.000 0.844
0.659 0.000 0.156
0.938 0.000 0.659
0.317 0.500 0.144
0.317 0.500 0.552
0.683 0.500 0.448
0.683 0.500 0.856
0.417 0.000 0.344
0.583 0.000 0.656

***

Entry 13:
Er2TmTc | Alexandria | PBE | optimized geometry; polymorph energy (0 for the lowest one) = 0 meV per atom; total moment = 0.00 μB/f.u.; density of states at the Fermi level = 0.7975 states/eV per atom; crystal system = orthorhombic; V = 25.8 Å³/atom; energy relative to the elements = -0.138 eV/atom; E_tot = -24.5 eV/f.u.
1.0
7.408 0.000 0.000
0.000 9.039 0.000
0.000 0.000 6.153
Er Tm Tc
8 4 4
direct
0.176 0.063 0.156
0.176 0.437 0.156
0.324 0.563 0.656
0.324 0.937 0.656
0.676 0.063 0.344
0.676 0.437 0.344
0.824 0.563 0.844
0.824 0.937 0.844
0.041 0.250 0.627
0.459 0.750 0.127
0.541 0.250 0.873
0.959 0.750 0.373
0.116 0.750 0.957
0.384 0.250 0.457
0.616 0.750 0.543
0.884 0.250 0.043

***

Entry 14:
Er3Tm2Tc2 | Alexandria | PBE | optimized geometry; total moment = 0.00 μB/f.u.; density of states at the Fermi level = 0.6899 states/eV per atom; crystal system = monoclinic; V = 25.0 Å³/atom; energy relative to the elements = -0.103 eV/atom; E_tot = -44.1 eV/f.u.
1.0
12.160 0.000 0.000
0.000 3.757 0.000
-3.281 0.000 7.649
Er Tm Tc
6 4 4
direct
0.000 0.000 0.000
0.125 0.000 0.436
0.375 0.500 0.564
0.500 0.500 0.000
0.625 0.500 0.436
0.875 0.000 0.564
0.162 0.500 0.820
0.338 0.000 0.180
0.662 0.000 0.820
0.838 0.500 0.180
0.180 0.500 0.214
0.320 0.000 0.786
0.680 0.000 0.214
0.820 0.500 0.786

***

Entry 15:
Er3Tm6Tc | Alexandria | PBE | optimized geometry; total moment = 0.00 μB/f.u.; density of states at the Fermi level = 1.1685 states/eV per atom; crystal system = orthorhombic; V = 28.9 Å³/atom; energy relative to the elements = 0.072 eV/atom; E_tot = -50.2 eV/f.u.
1.0
10.187 0.000 0.000
0.000 11.031 0.000
0.000 0.000 5.142
Er Tm Tc
6 12 2
direct
0.000 0.000 0.000
0.104 0.209 0.500
0.396 0.709 0.000
0.500 0.500 0.500
0.604 0.291 0.000
0.896 0.791 0.500
0.082 0.728 0.000
0.152 0.552 0.500
0.241 0.880 0.500
0.259 0.380 0.000
0.348 0.052 0.000
0.418 0.228 0.500
0.582 0.772 0.500
0.652 0.948 0.000
0.741 0.620 0.000
0.759 0.120 0.500
0.848 0.448 0.500
0.918 0.272 0.000
0.000 0.500 0.000
0.500 0.000 0.500

***

Entry 16:
Er7Tm2Tc2 | Alexandria | PBE | optimized geometry; total moment = 0.00 μB/f.u.; density of states at the Fermi level = 1.0083 states/eV per atom; crystal system = orthorhombic; V = 28.1 Å³/atom; energy relative to the elements = 0.080 eV/atom; E_tot = -60.7 eV/f.u.
1.0
-1.769 9.378 4.661
1.769 -9.378 4.661
1.769 9.378 -4.661
Er Tm Tc
7 2 2
direct
0.000 0.000 0.000
0.119 0.736 0.383
0.353 0.736 0.617
0.471 0.553 0.917
0.636 0.553 0.083
0.698 0.338 0.360
0.977 0.338 0.640
0.295 0.040 0.255
0.785 0.040 0.745
0.301 0.301 0.000
0.758 0.258 0.500

***

Entry 17:
Er2TmTc9 | Alexandria | PBE | optimized geometry; total moment = 0.00 μB/f.u.; density of states at the Fermi level = 1.0992 states/eV per atom; crystal system = trigonal; V = 17.8 Å³/atom; energy relative to the elements = -0.080 eV/atom; E_tot = -107.8 eV/f.u.
1.0
2.661 1.536 8.730
-2.661 1.536 8.730
0.000 -3.072 8.730
Er Tm Tc
2 1 9
direct
0.144 0.144 0.144
0.856 0.856 0.856
0.000 0.000 0.000
0.074 0.588 0.588
0.338 0.338 0.338
0.412 0.412 0.926
0.412 0.926 0.412
0.500 0.500 0.500
0.588 0.074 0.588
0.588 0.588 0.074
0.662 0.662 0.662
0.926 0.412 0.412

***

Entry 18:
Er2TmTc | Alexandria | PBE | optimized geometry; polymorph energy (0 for the lowest one) = 394 meV per atom; total moment = 0.34 μB/f.u.; density of states at the Fermi level = 1.4614 states/eV per atom; crystal system = trigonal; V = 26.8 Å³/atom; energy relative to the elements = 0.256 eV/atom; E_tot = -22.9 eV/f.u.
1.0
3.389 0.000 0.000
-1.695 2.935 0.000
0.000 0.000 32.298
Er Tm Tc
6 3 3
direct
0.000 0.000 0.104
0.000 0.000 0.896
0.333 0.667 0.562
0.333 0.667 0.771
0.667 0.333 0.229
0.667 0.333 0.438
0.000 0.000 0.000
0.333 0.667 0.667
0.667 0.333 0.333
0.000 0.000 0.500
0.333 0.667 0.167
0.667 0.333 0.833

***

Entry 19:
Er2TmTc | Alexandria | PBE | optimized geometry; polymorph energy (0 for the lowest one) = 138 meV per atom; total moment = 0.00 μB/f.u.; density of states at the Fermi level = 1.3419 states/eV per atom; crystal system = tetragonal; V = 25.6 Å³/atom; energy relative to the elements = 0.000 eV/atom; E_tot = -24.0 eV/f.u.
1.0
3.440 0.000 0.000
0.000 3.440 0.000
0.000 0.000 8.641
Er Tm Tc
2 1 1
direct
0.000 0.000 0.188
0.000 0.000 0.812
0.500 0.500 0.500
0.500 0.500 0.000

***

Entry 20:
Er8Tm2Tc | Alexandria | PBE | optimized geometry; total moment = 0.00 μB/f.u.; density of states at the Fermi level = 1.5012 states/eV per atom; crystal system = monoclinic; V = 28.7 Å³/atom; energy relative to the elements = 0.010 eV/atom; E_tot = -55.7 eV/f.u.
1.0
9.236 -2.703 0.000
9.236 2.703 0.000
-0.232 0.000 6.315
Er Tm Tc
8 2 1
direct
0.040 0.040 0.242
0.158 0.158 0.821
0.350 0.350 0.863
0.426 0.426 0.368
0.574 0.574 0.632
0.650 0.650 0.137
0.842 0.842 0.179
0.960 0.960 0.758
0.240 0.240 0.332
0.760 0.760 0.668
0.500 0.500 0.000

***

Entry 21:
Er2Tm3Tc2 | Alexandria | PBE | optimized geometry; total moment = 0.00 μB/f.u.; density of states at the Fermi level = 0.6542 states/eV per atom; crystal system = monoclinic; V = 24.9 Å³/atom; energy relative to the elements = -0.109 eV/atom; E_tot = -44.0 eV/f.u.
1.0
11.429 0.000 0.000
0.000 3.981 0.000
-3.045 0.000 7.668
Er Tm Tc
4 6 4
direct
0.164 0.000 0.316
0.336 0.500 0.684
0.664 0.500 0.316
0.836 0.000 0.684
0.000 0.500 0.500
0.126 0.500 0.930
0.374 0.000 0.070
0.500 0.000 0.500
0.626 0.000 0.930
0.874 0.500 0.070
0.169 0.000 0.712
0.331 0.500 0.288
0.669 0.500 0.712
0.831 0.000 0.288

***

Entry 22:
Er2Tm7Tc2 | Alexandria | PBE | optimized geometry; total moment = 0.00 μB/f.u.; density of states at the Fermi level = 1.1981 states/eV per atom; crystal system = orthorhombic; V = 26.8 Å³/atom; energy relative to the elements = 0.088 eV/atom; E_tot = -60.2 eV/f.u.
1.0
-1.809 5.347 7.610
1.809 -5.347 7.610
1.809 5.347 -7.610
Er Tm Tc
2 7 2
direct
0.103 0.103 0.000
0.897 0.897 0.000
0.109 0.358 0.751
0.295 0.795 0.500
0.393 0.642 0.751
0.500 0.500 0.000
0.607 0.358 0.249
0.705 0.205 0.500
0.891 0.642 0.249
0.244 0.000 0.244
0.756 0.000 0.756